Entry 1:
First-principles (PBEsol) data for a geometry-optimized AlSiCl2 structure, as listed in the Alexandria database.

Cell lengths 6.1285, 8.0316, 3.1180 Å; angles 90.00, 90.00, 90.00 degrees
Last column: nearest neighbours and their distance in Å.
Space group Cmmm (No. 65)
Symmetry-distinct sites (fractional):
Al  0.0000  0.0000  0.0000 [2 per cell]  8 Cl 2.97, 2 Si 3.06, 2 Al 3.12
Si  0.0000  0.5000  0.0000 [2 per cell]  8 Cl 2.97, 2 Al 3.06, 2 Si 3.12
Cl  0.2500  0.2500  0.5000 [4 per cell]  4 Al 2.97, 4 Si 2.97, 4 Cl 3.06-3.12

## Properties
- V (Å³ per cell) = 153
- energy relative to the lowest polymorph listed for this composition (meV per atom) = 456.1
- ΔE_f (raw) (eV/atom) = 0.116
- calculated total energy (eV per atom) = -3.348
- theoretical density (g/cm³) = 2.7



Entry 2:
First-principles (PBEsol) data for a geometry-optimized AlSi2Cl structure, as listed in the Alexandria database.

Cell lengths 3.5735, 3.5735, 5.5619 Å; angles 90.00, 90.00, 90.00 degrees
Last column: nearest neighbours and their distance in Å.
Space group P4/mmm (No. 123)
Symmetry-distinct sites (fractional):
Al  0.0000  0.0000  0.0000 [1 per cell]  4 Cl 2.53
Si  0.0000  0.5000  0.5000 [2 per cell]  4 Si 2.53
Cl  0.5000  0.5000  0.0000 [1 per cell]  4 Al 2.53

## Properties
- V (Å³ per cell) = 71
- energy relative to the lowest polymorph listed for this composition (meV per atom) = 213.9
- ΔE_f (raw) (eV/atom) = 0.307
- calculated total energy (eV per atom) = -4.091
- theoretical density (g/cm³) = 2.8



Entry 3:
First-principles (PBEsol) data for a geometry-optimized AlSiCl2 structure, as listed in the Alexandria database.

Cell lengths 10.5844, 3.0682, 5.2117 Å; angles 90.00, 103.09, 90.00 degrees
Last column: nearest neighbours and their distance in Å.
Space group Cm (No. 8)
Symmetry-distinct sites (fractional):
Al  0.0000  0.0000  0.0000 [2 per cell]  4 Cl 2.40-2.63, 2 Si 2.66
Si  0.3342  0.0000  0.6652 [2 per cell]  1 Cl 2.32
Cl  0.1776  0.5000  0.0426 [2 per cell]  2 Al 2.40
Cl  0.4848  0.0000  0.4029 [2 per cell]  1 Si 2.32

## Properties
- V (Å³ per cell) = 165
- energy relative to the lowest polymorph listed for this composition (meV per atom) = 0.0
- ΔE_f (raw) (eV/atom) = -0.340
- calculated total energy (eV per atom) = -3.804
- theoretical density (g/cm³) = 2.5



Entry 4:
First-principles (PBEsol) data for a geometry-optimized AlSn3Cl structure, as listed in the Alexandria database.

Cell lengths 5.2530, 5.2530, 5.2530 Å; angles 90.00, 90.00, 90.00 degrees
Last column: nearest neighbours and their distance in Å.
Space group Pm-3m (No. 221)
Symmetry-distinct sites (fractional):
Al  0.0000  0.0000  0.0000 [1 per cell]  6 Sn 2.63
Sn  0.0000  0.0000  0.5000 [3 per cell]  2 Al 2.63
Cl  0.5000  0.5000  0.5000 [1 per cell]  12 Sn 3.71

## Properties
- V (Å³ per cell) = 145
- ΔE_f (raw) (eV/atom) = 0.305
- calculated total energy (eV per atom) = -3.470
- theoretical density (g/cm³) = 4.8